1.
12
Lattice="-2.406 2.831 7.219 2.406 -2.831 7.219 2.406 2.831 -7.219" Properties=species:S:1:pos:R:3 comment="Ti5NbAl6 (PBE, relaxed)" final_energy_ev_per_atom=-6.2511 spacegroup="Immm, No. 71" m_tot_mub_per_fu=0.0 pbc="T T T"
Ti 0.000 0.000 0.000
Ti 2.406 0.000 2.410
Ti 0.000 0.000 4.793
Ti 0.000 0.000 9.644
Ti 0.000 2.831 4.809
Nb 0.000 2.831 0.000
Al 2.406 -1.408 4.812
Al 2.406 1.423 0.000
Al 0.000 1.423 2.407
Al 2.406 1.408 4.812
Al 0.000 1.408 7.219
Al 0.000 4.240 2.407


2.
10
Lattice="3.327 0.000 0.000 0.000 3.327 0.000 0.000 0.000 14.920" Properties=species:S:1:pos:R:3 comment="Ti5NbAl4 (PBE, relaxed)" final_energy_ev_per_atom=-6.7277 spacegroup="P4/mmm, No. 123" m_tot_mub_per_fu=0.0 pbc="T T T"
Ti 0.000 0.000 0.000
Ti 0.000 0.000 2.900
Ti 0.000 0.000 5.938
Ti 0.000 0.000 8.982
Ti 0.000 0.000 12.020
Nb 1.663 1.663 7.460
Al 1.663 1.663 1.439
Al 1.663 1.663 4.435
Al 1.663 1.663 10.485
Al 1.663 1.663 13.481